Density functional theory data (GGA-PBE) for Na3Tl5Pd2 after structural relaxation.

```
Na3Tl5Pd2
1.0
11.1519 0.0000 0.0000
0.0000 11.1519 0.0000
0.0000 0.0000 4.1090
Na Tl Pd
6 10 4
Cartesian
0.0000 0.0000 0.0000
1.9234 3.6526 0.0000
3.6526 9.2285 0.0000
5.5760 5.5760 0.0000
7.4993 1.9234 0.0000
9.2285 7.4993 0.0000
0.0000 5.5760 2.0545
0.8098 8.8743 2.0545
2.2776 0.8098 2.0545
3.2983 6.3857 2.0545
4.7662 3.2983 2.0545
5.5760 0.0000 2.0545
6.3857 7.8536 2.0545
7.8536 4.7662 2.0545
8.8743 10.3421 2.0545
10.3421 2.2776 2.0545
1.3760 6.9520 0.0000
4.1999 1.3760 0.0000
6.9520 9.7759 0.0000
9.7759 4.1999 0.0000
```

Results
The value obtained for the total energy is -55.453 eV per cell. As for the space group: No. 127. For the total magnetic moment, the calculation gives 0.0 μB/cell. As for the formation energy: -0.16 eV/atom. The calculation puts the density at 8.47 g cm⁻³.

Density functional theory data (GGA-PBE) for NaTl5Pd after structural relaxation.

```
NaTl5Pd
1.0
4.8542 0.0000 0.0000
0.0000 4.8542 0.0000
0.0000 0.0000 8.1174
Na Tl Pd
1 5 1
Cartesian
0.0000 0.0000 0.0000
0.0000 2.4271 2.4228
0.0000 2.4271 5.6945
2.4271 0.0000 2.4228
2.4271 0.0000 5.6945
2.4271 2.4271 0.0000
0.0000 0.0000 4.0587
```

Results
The value obtained for the total energy is -18.998 eV per cell. As for the space group: No. 123. For the total magnetic moment, the calculation gives 0.0 μB/cell. As for the formation energy: -0.09 eV/atom. The calculation puts the density at 10.00 g cm⁻³.

Density functional theory data (GGA-PBE) for Na2Tl4Pd3 after structural relaxation.

```
Na2Tl4Pd3
1.0
0.0000 5.0868 7.1551
2.8652 0.0000 7.1551
2.8652 5.0868 0.0000
Na Tl Pd
2 4 3
Cartesian
2.8652 5.0868 1.5161
2.8652 5.0868 12.7940
2.8652 3.4734 4.8281
2.8652 6.7003 4.8281
2.8652 3.4734 9.4820
2.8652 6.7003 9.4820
1.4326 2.5434 0.0000
1.4326 2.5434 7.1551
2.8652 5.0868 7.1551
```

Results
The value obtained for the total energy is -29.255 eV per cell. As for the space group: No. 69. For the total magnetic moment, the calculation gives 0.0 μB/cell. As for the formation energy: -0.17 eV/atom. The calculation puts the density at 9.42 g cm⁻³. For the relative energy among the computed polymorphs, the calculation gives 0.000 eV/atom.

Density functional theory data (GGA-PBE) for NaTl2Pd after structural relaxation.

```
NaTl2Pd
1.0
16.2253 0.0000 0.0000
0.0000 8.2413 0.0000
0.0000 0.0000 5.9150
Na Tl Pd
8 16 8
Cartesian
1.7254 2.0603 1.4306
2.2575 6.1809 0.1489
5.8551 2.0603 3.1064
6.3873 6.1809 4.3881
9.8380 2.0603 1.5269
10.3702 6.1809 2.8086
13.9678 2.0603 5.7661
14.4999 6.1809 4.4844
0.5838 0.4171 4.4784
0.5838 3.7035 4.4784
3.4496 4.5024 3.0299
3.4496 7.8595 3.0299
4.6631 0.3817 0.0724
4.6631 3.7389 0.0724
7.5289 4.5378 1.5209
7.5289 7.8241 1.5209
8.6964 0.4171 4.3941
8.6964 3.7035 4.3941
11.5622 4.5024 5.8426
11.5622 7.8595 5.8426
12.7757 0.3817 2.8851
12.7757 3.7389 2.8851
15.6416 4.5378 1.4366
15.6416 7.8241 1.4366
1.1339 6.1809 3.0852
2.9715 2.0603 4.4503
5.1411 6.1809 1.4928
6.9788 2.0603 0.1277
9.2465 6.1809 5.7873
11.0842 2.0603 4.4222
13.2538 6.1809 1.4647
15.0914 2.0603 2.8298
```

Results
The value obtained for the total energy is -95.535 eV per cell. As for the space group: No. 62. For the total magnetic moment, the calculation gives 0.0 μB/cell. As for the formation energy: -0.17 eV/atom. The calculation puts the density at 9.04 g cm⁻³.

Density functional theory data (GGA-PBE) for NaTmTlPd after structural relaxation.

```
NaTmTlPd
1.0
0.0000 3.5614 3.5614
3.5614 0.0000 3.5614
3.5614 3.5614 0.0000
Na Tm Tl Pd
1 1 1 1
Cartesian
0.0000 0.0000 0.0000
3.5614 3.5614 3.5614
1.7807 1.7807 1.7807
5.3421 5.3421 5.3421
```

Results
The value obtained for the total energy is -14.428 eV per cell. As for the space group: No. 216. For the total magnetic moment, the calculation gives 0.0 μB/cell. As for the formation energy: -0.27 eV/atom. The calculation puts the density at 9.24 g cm⁻³.

Density functional theory data (GGA-PBE) for NaTl2ZnPd after structural relaxation.

```
NaTl2ZnPd
1.0
5.3596 0.0000 0.0000
0.0000 5.3596 0.0000
0.0000 0.0000 4.9483
Na Tl Zn Pd
1 2 1 1
Cartesian
0.0000 0.0000 0.0000
0.0000 2.6798 2.4742
2.6798 0.0000 2.4742
2.6798 2.6798 0.0000
2.6798 2.6798 2.4742
```

Results
The value obtained for the total energy is -12.652 eV per cell. As for the space group: No. 123. For the total magnetic moment, the calculation gives 0.0 μB/cell. As for the formation energy: -0.03 eV/atom. The calculation puts the density at 7.05 g cm⁻³.